[1]
A plane-wave DFT calculation with GGA-PBE was carried out for a geometry-optimized ReGe2CN structure.

Raw formation energy ... 1.57 eV/atom

Cell lengths 4.935, 4.935, 3.765 Å; angles 90.00, 90.00, 90.00 degrees
Fractional coordinates of all 5 atoms:
Re 0.000 0.000 0.000
Ge 0.000 0.500 0.000
Ge 0.500 0.000 0.000
C 0.500 0.500 0.500
N 0.000 0.000 0.500

***

[2]
A plane-wave DFT calculation with GGA-PBE was carried out for a geometry-optimized GeCSN2 structure.

Raw formation energy ... 2.34 eV/atom

Cell lengths 3.505, 3.505, 6.962 Å; angles 90.00, 90.00, 90.00 degrees
Fractional coordinates of all 5 atoms:
Ge 0.000 0.000 0.000
C 0.500 0.500 0.500
S 0.000 0.000 0.500
N 0.000 0.500 0.000
N 0.500 0.000 0.000

***

[3]
A plane-wave DFT calculation with GGA-PBE was carried out for a geometry-optimized GeCS2N structure.

Raw formation energy ... 2.12 eV/atom

Cell lengths 4.769, 4.769, 3.584 Å; angles 90.00, 90.00, 90.00 degrees
Fractional coordinates of all 5 atoms:
Ge 0.000 0.000 0.000
C 0.500 0.500 0.500
S 0.000 0.500 0.000
S 0.500 0.000 0.000
N 0.000 0.000 0.500

***

[4]
A plane-wave DFT calculation with GGA-PBE was carried out for a geometry-optimized GeCS2N structure.

Raw formation energy ... 0.77 eV/atom

Cell lengths 5.807, 5.807, 2.446 Å; angles 90.00, 90.00, 90.00 degrees
Fractional coordinates of all 5 atoms:
Ge 0.000 0.000 0.000
C 0.500 0.500 0.500
S 0.000 0.500 0.500
S 0.500 0.000 0.500
N 0.500 0.500 0.000

***

[5]
A plane-wave DFT calculation with GGA-PBE was carried out for a geometry-optimized GeCSN2 structure.

Raw formation energy ... 2.06 eV/atom

Cell lengths 3.551, 3.551, 3.988 Å; angles 90.00, 90.00, 90.00 degrees
Fractional coordinates of all 5 atoms:
Ge 0.000 0.000 0.000
C 0.500 0.500 0.500
S 0.500 0.500 0.000
N 0.000 0.500 0.500
N 0.500 0.000 0.500

***

[6]
A plane-wave DFT calculation with GGA-PBE was carried out for a geometry-optimized GeCSe2N structure.

Raw formation energy ... 0.66 eV/atom

Cell lengths 5.998, 5.998, 2.507 Å; angles 90.00, 90.00, 90.00 degrees
Fractional coordinates of all 5 atoms:
Ge 0.000 0.000 0.000
C 0.500 0.500 0.500
Se 0.000 0.500 0.500
Se 0.500 0.000 0.500
N 0.500 0.500 0.000

***

[7]
A plane-wave DFT calculation with GGA-PBE was carried out for a geometry-optimized GeCSe2N structure.

Raw formation energy ... 2.00 eV/atom

Cell lengths 5.103, 5.103, 3.501 Å; angles 90.00, 90.00, 90.00 degrees
Fractional coordinates of all 5 atoms:
Ge 0.000 0.000 0.000
C 0.500 0.500 0.500
Se 0.000 0.500 0.000
Se 0.500 0.000 0.000
N 0.000 0.000 0.500

***

[8]
A plane-wave DFT calculation with GGA-PBE was carried out for a geometry-optimized Sr3GeC2N6 structure.

Raw formation energy ... -0.28 eV/atom

Cell lengths 5.363, 5.363, 6.643 Å; angles 90.00, 90.00, 120.00 degrees
Fractional coordinates of all 12 atoms:
Sr 0.000 0.000 0.000
Sr 0.333 0.667 0.686
Sr 0.667 0.333 0.314
Ge 0.000 0.000 0.500
C 0.333 0.667 0.294
C 0.667 0.333 0.706
N 0.184 0.369 0.289
N 0.184 0.816 0.289
N 0.369 0.184 0.711
N 0.631 0.816 0.289
N 0.816 0.184 0.711
N 0.816 0.631 0.711

***

[9]
A plane-wave DFT calculation with GGA-PBE was carried out for a geometry-optimized Th4GeC2N structure.

Raw formation energy ... -0.40 eV/atom

Cell lengths 6.199, 6.199, 6.199 Å; angles 114.52, 114.52, 99.78 degrees
Fractional coordinates of all 8 atoms:
Th 0.130 0.130 0.567
Th 0.437 0.870 0.000
Th 0.563 0.563 0.433
Th 0.870 0.437 0.000
Ge 0.000 0.000 0.000
C 0.250 0.750 0.500
C 0.750 0.250 0.500
N 0.500 0.500 0.000

***

[10]
A plane-wave DFT calculation with GGA-PBE was carried out for a geometry-optimized GeWC2N structure.

Raw formation energy ... 1.44 eV/atom

Cell lengths 4.158, 4.158, 3.944 Å; angles 90.00, 90.00, 90.00 degrees
Fractional coordinates of all 5 atoms:
Ge 0.000 0.000 0.000
W 0.500 0.500 0.500
C 0.000 0.500 0.500
C 0.500 0.000 0.500
N 0.500 0.500 0.000

***

[11]
A plane-wave DFT calculation with GGA-PBE was carried out for a geometry-optimized YGeCN2 structure.

Raw formation energy ... 1.31 eV/atom

Cell lengths 4.178, 4.178, 3.633 Å; angles 90.00, 90.00, 90.00 degrees
Fractional coordinates of all 5 atoms:
Y 0.000 0.000 0.000
Ge 0.500 0.500 0.000
C 0.500 0.500 0.500
N 0.000 0.500 0.500
N 0.500 0.000 0.500

***

[12]
A plane-wave DFT calculation with GGA-PBE was carried out for a geometry-optimized ZrGe2CN structure.

Raw formation energy ... 1.31 eV/atom

Cell lengths 4.072, 4.072, 4.317 Å; angles 90.00, 90.00, 90.00 degrees
Fractional coordinates of all 5 atoms:
Zr 0.000 0.000 0.000
Ge 0.000 0.500 0.500
Ge 0.500 0.000 0.500
C 0.500 0.500 0.500
N 0.500 0.500 0.000